First-principles (PBE) data for an optimized crystal structure of NaReP3, as listed in the Alexandria database.

E_tot in eV/atom: -5.68
Energy above the lowest structure with this stoichiometry in meV per atom: 0
ΔH_f (0 K) in meV per atom: 317

Cell: 4.7066 4.7066 4.7066 Å, 90.00 90.00 90.00°
Sites, in units of the cell vectors:
P 0.0000 0.0000 0.5000
P 0.0000 0.5000 0.0000
P 0.5000 0.0000 0.0000
Re 0.0000 0.0000 0.0000
Na 0.5000 0.5000 0.5000